The following is a DFT calculation (PBE-GGA) of NdSm4Se6 after structural relaxation.

It has space group Cmcm (No. 63), with a = 4.098 Å, b = 13.712 Å, c = 21.179 Å, α = 90.00°, β = 90.00° and γ = 90.00°. Symmetry generates all atoms from Nd at (0.000, 0.155, 0.250), Sm at (0.000, 0.089, 0.627), Sm at (0.000, 0.359, 0.539), Se at (0.000, 0.000, 0.000), Se at (0.000, 0.188, 0.750), Se at (0.000, 0.269, 0.091) and Se at (0.000, 0.448, 0.667).

Its total moment is 0.00 μB/f.u. As for the formation energy (no corrections): -42.863 kcal/mol of atoms. Its final energy is -5.9089 eV per atom.